No. 1
VASP calculation (PBE) on Hf2InWC after structural relaxation.

Cell lengths 5.3024, 5.3024, 3.8184 Å; angles 90.00, 90.00, 90.00 degrees
Sites, in units of the cell vectors:
Hf  0.0000  0.5000  0.0000
Hf  0.5000  0.0000  0.0000
In  0.0000  0.0000  0.0000
W  0.5000  0.5000  0.5000
C  0.0000  0.0000  0.5000

Output
Total DFT energy (no corrections), eV per formula unit: -33.8
Space-group type: P4/mmm
Crystal system: tetragonal
V, Å³ per cell: 107.4
Magnetization, μB per atom: 0.000

=====

No. 2
VASP calculation (PBE) on Ni2Mo2Pd3 after structural relaxation.

Cell lengths 4.9773, 4.9773, 9.5413 Å; angles 90.00, 90.00, 120.49 degrees
Sites, in units of the cell vectors:
Ni  0.1968  0.8032  0.8118
Ni  0.3032  0.6968  0.3118
Ni  0.6968  0.3032  0.6882
Ni  0.8032  0.1968  0.1882
Mo  0.1922  0.3078  0.7500
Mo  0.3078  0.1922  0.2500
Mo  0.6922  0.8078  0.7500
Mo  0.8078  0.6922  0.2500
Pd  0.0000  0.0000  0.0000
Pd  0.1601  0.8399  0.5464
Pd  0.3399  0.6601  0.0464
Pd  0.5000  0.5000  0.5000
Pd  0.6601  0.3399  0.9536
Pd  0.8399  0.1601  0.4536

Output
Total DFT energy (no corrections), eV per formula unit: -48.1
Space-group type: Cmce
Crystal system: orthorhombic
V, Å³ per cell: 203.7
Magnetization, μB per atom: 0.000

=====

No. 3
VASP calculation (PBE) on NiTeIrN2 after structural relaxation.

Cell lengths 3.6078, 3.6078, 6.8926 Å; angles 90.00, 90.00, 90.00 degrees
Sites, in units of the cell vectors:
Ni  0.0000  0.0000  0.0000
Te  0.0000  0.0000  0.5000
Ir  0.5000  0.5000  0.5000
N  0.0000  0.5000  0.0000
N  0.5000  0.0000  0.0000

Output
Raw formation energy, eV/atom: 1.4964
Space-group type: P4/mmm
Crystal system: tetragonal
Polymorph energy (0 for the lowest one), kcal/mol of atoms: 14.61
V, Å³ per cell: 89.7
Magnetization, μB per atom: 0.001

=====

The highest magnetization belongs to which entry?
NiTeIrN2

=====

What is the formula in the first record?
Hf2InWC